# 1
Entry from the Alexandria database: a relaxed structure of Cs2DyInTe4 (GGA-PBE).

```
Cs2DyInTe4
1.0
-3.468 -0.269 -6.005
4.880 -2.724 -6.706
-5.431 -13.488 -0.269
Te Dy Cs In
8 2 4 2
direct
0.211 0.210 0.888
0.539 0.290 0.612
0.579 0.210 0.112
0.441 0.710 0.388
0.171 0.290 0.388
0.849 0.710 0.612
0.901 0.790 0.888
0.309 0.790 0.112
0.000 0.000 0.000
0.750 0.500 0.500
0.568 0.500 0.864
0.182 0.000 0.636
0.818 0.000 0.364
0.932 0.500 0.136
0.500 0.000 0.000
0.250 0.500 0.500
```

Output
The crystal system is orthorhombic. For the total energy, the calculation gives -3.68 eV per atom. The uncorrected formation energy is -22.63 kcal/mol of atoms.

***

# 2
Entry from the Alexandria database: a relaxed structure of YHg2Au (GGA-PBE).

```
YHg2Au
1.0
8.196 0.000 0.000
0.000 8.196 0.000
4.098 4.098 3.011
Hg Au Y
4 2 2
direct
0.102 0.625 0.250
0.875 0.898 0.750
0.375 0.352 0.750
0.648 0.125 0.250
0.750 0.250 0.500
0.000 0.000 0.000
0.250 0.750 0.500
0.500 0.500 0.000
```

Output
The value obtained for the energy of formation from the pure elements is -0.239 eV per atom. The crystal system is tetragonal. For the total energy, the calculation gives -2.83 eV per atom.

***

# 3
Entry from the Alexandria database: a relaxed structure of GaHg3Cl2F6 (GGA-PBE).

```
GaHg3Cl2F6
1.0
5.471 0.000 0.393
0.000 6.546 0.000
-0.213 -3.273 6.211
Cl Hg F Ga
2 3 6 1
direct
0.876 0.314 0.628
0.124 0.686 0.372
0.000 0.500 0.000
0.500 0.500 0.500
0.500 0.000 0.500
0.311 0.146 0.864
0.689 0.282 0.136
0.706 0.871 0.743
0.294 0.129 0.257
0.689 0.854 0.136
0.311 0.718 0.864
0.500 0.000 0.000
```

Output
The crystal system is monoclinic. For the total energy, the calculation gives -3.06 eV per atom. The uncorrected formation energy is -34.33 kcal/mol of atoms.

***

# 4
Entry from the Alexandria database: a relaxed structure of Zn2NiTe (GGA-PBE).

```
Zn2NiTe
1.0
3.928 0.000 0.000
0.000 4.176 0.022
0.000 2.102 5.002
Zn Te Ni
2 1 1
direct
0.000 0.085 0.207
0.500 0.627 0.118
0.500 0.320 0.740
0.000 0.468 0.435
```

Output
The crystal system is monoclinic. The offset from the most stable computed form is 0.000 eV/atom. For the total energy, the calculation gives -2.91 eV per atom. The uncorrected formation energy is -0.92 kcal/mol of atoms.

***

# 5
Entry from the Alexandria database: a relaxed structure of Be7Os (GGA-PBE).

```
Be7Os
1.0
-4.027 -2.262 -0.914
-3.381 -0.202 3.270
-3.988 2.435 -0.583
Os Be
1 7
direct
0.000 0.000 0.000
0.000 0.500 0.500
0.000 0.500 0.000
0.500 0.500 0.500
0.500 0.000 0.000
0.500 0.500 0.000
0.500 0.000 0.500
0.000 0.000 0.500
```

Output
The value obtained for the energy of formation from the pure elements is -0.020 eV per atom. The crystal system is cubic. For the total energy, the calculation gives -4.68 eV per atom.

***

# 6
Entry from the Alexandria database: a relaxed structure of AsPPbAu2 (GGA-PBE).

```
AsPPbAu2
1.0
4.781 0.000 0.000
0.000 6.144 0.000
0.000 0.000 4.781
Au Pb P As
2 1 1 1
direct
0.000 0.000 0.500
0.500 0.000 0.000
0.000 0.500 0.000
0.500 0.500 0.500
0.000 0.000 0.000
```

Output
The value obtained for the energy of formation from the pure elements is 0.630 eV per atom. The crystal system is tetragonal. For the total energy, the calculation gives -3.43 eV per atom.

***

# 7
Entry from the Alexandria database: a relaxed structure of AcMgGe (GGA-PBE).

```
AcMgGe
1.0
7.326 0.000 0.000
0.000 7.326 0.000
0.000 0.000 7.110
Mg Ge Ac
4 4 4
direct
0.817 0.817 0.500
0.683 0.317 0.750
0.183 0.183 0.000
0.317 0.683 0.250
0.433 0.433 0.000
0.067 0.933 0.250
0.567 0.567 0.500
0.933 0.067 0.750
0.752 0.248 0.250
0.248 0.752 0.750
0.252 0.252 0.500
0.748 0.748 0.000
```

Output
The value obtained for the energy of formation from the pure elements is -0.189 eV per atom. The crystal system is tetragonal. The offset from the most stable computed form is 0.367 eV/atom. For the total energy, the calculation gives -3.63 eV per atom.

***

# 8
Entry from the Alexandria database: a relaxed structure of Ta2AlTl (GGA-PBE).

```
Ta2AlTl
1.0
-2.736 8.580 4.592
-5.483 7.358 4.242
-3.789 6.615 6.639
Tl Ta Al
1 2 1
direct
0.499 0.499 0.499
0.254 0.254 0.254
0.003 0.003 0.003
0.744 0.744 0.744
```

Output
The value obtained for the energy of formation from the pure elements is 0.324 eV per atom. The crystal system is trigonal. For the total energy, the calculation gives -7.13 eV per atom.

***

| no. | magnetization (μB per atom) |
| --- | --- |
| 1 | 0.000 |
| 2 | 0.000 |
| 3 | 0.000 |
| 4 | 0.000 |
| 5 | 0.000 |
| 6 | 0.311 |
| 7 | 0.000 |
| 8 | 0.000 |